(1)
## TaNiPdS4 (GGA-PBE)

Data for a relaxed structure of TaNiPdS4.

The structure in POSCAR format:
```
TaNiPdS4
1.0
-3.474 3.660 4.985
3.474 -3.660 4.985
3.474 3.660 -4.985
Ta Ni Pd S
2 2 2 8
Cartesian
-1.737 1.830 2.492
1.737 1.830 2.492
0.000 0.000 0.000
0.000 3.660 0.000
3.474 1.830 -1.248
0.000 1.830 6.232
0.000 0.083 2.361
1.531 1.830 0.055
1.943 -1.830 5.040
3.474 0.083 2.623
0.000 3.577 2.361
1.531 5.490 -0.055
1.943 1.830 4.930
3.474 3.577 2.623
```

## Properties
Spin magnetization (Bohr magnetons per cell): 0.00
N(E_F) (states/eV per atom): 0.561
ρ (g/cm³): 6.214
Raw formation energy (eV per atom): -0.5232
Raw total energy (eV/atom): -6.143
Calculated volume (A^3/atom): 18.107

(2)
## TcNiPdS2 (GGA-PBE)

Data for a relaxed structure of TcNiPdS2.

The structure in POSCAR format:
```
TcNiPdS2
1.0
4.282 0.000 0.000
0.000 4.282 0.000
0.000 0.000 4.829
Tc Ni Pd S
1 1 1 2
Cartesian
0.000 0.000 0.000
0.000 0.000 2.414
2.141 2.141 0.000
0.000 2.141 2.414
2.141 0.000 2.414
```

## Properties
Spin magnetization (Bohr magnetons per cell): 3.86
N(E_F) (states/eV per atom): 0.929
ρ (g/cm³): 6.137
Raw formation energy (eV per atom): 0.8875
Raw total energy (eV/atom): -5.032
Calculated volume (A^3/atom): 17.709

(3)
## Tl2NiPdS (GGA-PBE)

Data for a relaxed structure of Tl2NiPdS.

The structure in POSCAR format:
```
Tl2NiPdS
1.0
5.696 0.000 0.000
0.000 5.696 0.000
0.000 0.000 3.984
Tl Ni Pd S
2 1 1 1
Cartesian
0.000 2.848 0.000
2.848 0.000 0.000
0.000 0.000 1.992
2.848 2.848 1.992
0.000 0.000 0.000
```

## Properties
Spin magnetization (Bohr magnetons per cell): 0.00
N(E_F) (states/eV per atom): 1.260
ρ (g/cm³): 7.784
Raw formation energy (eV per atom): 0.3385
Raw total energy (eV/atom): -3.628
Calculated volume (A^3/atom): 25.852

(4)
## TlNiPdS2 (GGA-PBE)

Data for a relaxed structure of TlNiPdS2.

The structure in POSCAR format:
```
TlNiPdS2
1.0
2.705 -5.501 0.000
2.705 5.501 0.000
0.000 0.000 7.118
Tl Ni Pd S
2 2 2 4
Cartesian
2.705 2.750 5.639
2.705 -2.750 1.479
1.352 0.000 3.559
4.057 0.000 3.559
0.000 0.000 0.000
2.705 0.000 0.000
2.705 4.545 2.108
2.705 0.956 2.108
2.705 -0.956 5.010
2.705 -4.545 5.010
```

## Properties
Spin magnetization (Bohr magnetons per cell): 0.00
N(E_F) (states/eV per atom): 0.414
ρ (g/cm³): 6.798
Raw formation energy (eV per atom): -0.2522
Raw total energy (eV/atom): -4.571
Calculated volume (A^3/atom): 21.183